1.
Computed, not measured: a relaxed AcPmNdPu crystal at the GGA-PBE level of DFT.

As for the space group: No. 216. The calculation puts the total energy at -6.72 eV/atom.

a b c (Å): 5.874 5.874 5.874
angles (deg): 60.00 60.00 60.00
Fractional coordinates of all 4 atoms:
Ac1 0.000 0.000 0.000
Pm1 0.750 0.750 0.750
Nd1 0.250 0.250 0.250
Pu1 0.500 0.500 0.500

2.
Computed, not measured: a relaxed RbLa2Cu2 crystal at the GGA-PBE level of DFT.

As for the space group: No. 139. The energy above the most stable polymorph in this dataset is 56 meV/atom.

a b c (Å): 6.720 6.720 6.720
angles (deg): 134.09 134.09 66.95
Fractional coordinates of all 5 atoms:
Rb1 0.000 0.000 0.000
La1 0.250 0.750 0.500
La2 0.750 0.250 0.500
Cu1 0.390 0.390 0.000
Cu2 0.610 0.610 0.000

3.
Computed, not measured: a relaxed Tb2PmHo4 crystal at the GGA-PBE level of DFT.

As for the space group: No. 11. The energy above the most stable polymorph in this dataset is 92 meV/atom.

a b c (Å): 6.048 6.580 11.550
angles (deg): 90.00 104.08 90.00
Fractional coordinates of all 14 atoms:
Tb1 0.101 0.250 0.491
Tb2 0.342 0.750 0.051
Tb3 0.658 0.250 0.949
Tb4 0.899 0.750 0.509
Pm1 0.462 0.750 0.637
Pm2 0.538 0.250 0.363
Ho1 0.155 0.008 0.790
Ho2 0.155 0.492 0.790
Ho3 0.220 0.250 0.078
Ho4 0.355 0.750 0.336
Ho5 0.645 0.250 0.664
Ho6 0.780 0.750 0.922
Ho7 0.845 0.508 0.210
Ho8 0.845 0.992 0.210

4.
Computed, not measured: a relaxed HfBSeN2 crystal at the GGA-PBE level of DFT.

As for the space group: No. 123. The energy above the most stable polymorph in this dataset is 304 meV/atom. For the energy relative to the elements, uncorrected, the calculation gives 1.117 eV/atom.

a b c (Å): 4.020 4.020 5.667
angles (deg): 90.00 90.00 90.00
Fractional coordinates of all 5 atoms:
Hf1 0.000 0.000 0.000
B1 0.500 0.500 0.500
Se1 0.000 0.000 0.500
N1 0.000 0.500 0.000
N2 0.500 0.000 0.000

5.
Computed, not measured: a relaxed CsRb3Hg3 crystal at the GGA-PBE level of DFT.

As for the space group: No. 223. The energy above the most stable polymorph in this dataset is 159 meV/atom.

a b c (Å): 10.015 10.015 10.015
angles (deg): 90.00 90.00 90.00
Fractional coordinates of all 14 atoms:
Cs1 0.000 0.000 0.000
Cs2 0.500 0.500 0.500
Rb1 0.000 0.250 0.500
Rb2 0.000 0.750 0.500
Rb3 0.250 0.500 0.000
Rb4 0.500 0.000 0.250
Rb5 0.500 0.000 0.750
Rb6 0.750 0.500 0.000
Hg1 0.000 0.500 0.250
Hg2 0.000 0.500 0.750
Hg3 0.250 0.000 0.500
Hg4 0.500 0.250 0.000
Hg5 0.500 0.750 0.000
Hg6 0.750 0.000 0.500

6.
Computed, not measured: a relaxed TcTe2Se crystal at the GGA-PBE level of DFT.

As for the space group: No. 47. For the energy relative to the elements, uncorrected, the calculation gives 0.718 eV/atom.

a b c (Å): 3.402 4.890 5.078
angles (deg): 90.00 90.00 90.00
Fractional coordinates of all 4 atoms:
Tc1 0.000 0.000 0.000
Te1 0.000 0.500 0.500
Te2 0.500 0.500 0.000
Se1 0.500 0.000 0.500

7.
Computed, not measured: a relaxed Ca2Tl3OsO6 crystal at the GGA-PBE level of DFT.

As for the space group: No. 12. For the energy relative to the elements, uncorrected, the calculation gives -1.485 eV/atom.

a b c (Å): 5.858 5.858 6.845
angles (deg): 98.16 98.16 119.94
Fractional coordinates of all 12 atoms:
Ca1 0.167 0.833 0.000
Ca2 0.833 0.167 0.000
Tl1 0.000 0.000 0.500
Tl2 0.334 0.666 0.500
Tl3 0.666 0.334 0.500
Os1 0.500 0.500 0.000
O1 0.159 0.441 0.834
O2 0.277 0.277 0.177
O3 0.441 0.159 0.834
O4 0.559 0.841 0.166
O5 0.723 0.723 0.823
O6 0.841 0.559 0.166

8.
Computed, not measured: a relaxed Er2PuPb3 crystal at the GGA-PBE level of DFT.

As for the space group: No. 123. The calculation puts the total energy at -6.09 eV/atom.

a b c (Å): 3.504 3.504 13.548
angles (deg): 90.00 90.00 90.00
Fractional coordinates of all 6 atoms:
Er1 0.000 0.000 0.165
Er2 0.000 0.000 0.835
Pu1 0.000 0.000 0.500
Pb1 0.500 0.500 0.000
Pb2 0.500 0.500 0.328
Pb3 0.500 0.500 0.672

no.,density of states at the Fermi level (states/eV/cell),total magnetic moment (Bohr magnetons per cell)
1,16.2,7.3
2,7.3,0.0
3,23.3,0.0
4,3.8,0.2
5,17.7,0.0
6,4.0,0.4
7,4.2,2.6
8,11.9,6.0